ScBe2Si: optimized geometry, PBE.

Calculated values
Formation energy without anion corrections = -0.210 eV per atom
Volume = 13.37 Å³ per atom
Theoretical density = 2.83 g/cm3

Unit cell a=6.3987 b=3.7017 c=4.9990 alpha=90.00 beta=115.37 gamma=90.00
Atoms (fractional coordinates):
Sc 0.0000 0.0000 0.0000
Sc 0.5000 0.5000 0.0000
Be 0.2050 0.0000 0.6161
Be 0.2950 0.5000 0.3839
Be 0.7050 0.5000 0.6161
Be 0.7950 0.0000 0.3839
Si 0.0000 0.5000 0.5000
Si 0.5000 0.0000 0.5000